LiV2PbO6: relaxed, PBE+U.

The value obtained for the total moment is 1.0 μB per formula unit. For the raw total energy, the calculation gives -273.1 eV per cell.

The space group is C2/c (No. 15) and the conventional cell measures 11.0885, 10.8172 and 5.9766 Å, with angles of 90.00, 111.57 and 90.00 degrees. The asymmetric unit holds Li at (0.0000, 0.2411, 0.2500), V at (0.2048, 0.4084, 0.6949), Pb at (0.0000, 0.1350, 0.7500), O at (0.0954, 0.2848, 0.5978), O at (0.1345, 0.1358, 0.1901) and O at (0.1782, 0.4908, 0.9381).